1.
Compound: BaAgMo
Source: Alexandria via LeMat-Bulk
Functional: PBE
Structure: relaxed

```
3
Lattice="-1.072 -1.682 7.387 -3.833 -2.434 6.158 0.785 -3.013 0.085" Properties=species:S:1:pos:R:3 pbc="T T T"
Ba -3.018 -3.751 9.082
Ag -4.774 -4.091 13.235
Mo -1.232 -3.404 4.856
```

Results
* energy of formation from the pure elements: 0.9030 eV/atom
* size of the total moment: 0.0 μB/f.u.
* V: 71 Å³/f.u.
* E above lowest polymorph: 0.00 eV/f.u.

***

2.
Compound: MgCd2In
Source: Alexandria via LeMat-Bulk
Functional: PBE
Structure: relaxed

```
4
Lattice="3.341 0.000 0.000 0.000 4.463 0.000 0.000 0.000 6.184" Properties=species:S:1:pos:R:3 pbc="T T T"
Mg 1.671 2.231 4.665
Cd 1.671 2.231 1.497
Cd 0.000 0.000 6.178
In 0.000 0.000 3.122
```

Results
* energy of formation from the pure elements: -0.0335 eV/atom
* size of the total moment: 0.0 μB/f.u.
* V: 92 Å³/f.u.

***

3.
Compound: HgMoAu2
Source: Alexandria via LeMat-Bulk
Functional: PBE
Structure: relaxed

```
4
Lattice="2.862 0.000 0.000 0.000 4.149 0.000 0.000 0.000 6.152" Properties=species:S:1:pos:R:3 pbc="T T T"
Mo 1.431 2.075 4.614
Au 0.000 0.000 6.023
Au 0.000 0.000 3.204
Hg 1.431 2.075 1.538
```

Results
* energy of formation from the pure elements: 0.3342 eV/atom
* size of the total moment: 0.0 μB/f.u.
* V: 73 Å³/f.u.

***

4.
Compound: SmHoPd
Source: Alexandria via LeMat-Bulk
Functional: PBE
Structure: relaxed

```
3
Lattice="3.577 0.000 0.000 0.000 3.577 0.000 -1.789 -1.789 6.145" Properties=species:S:1:pos:R:3 pbc="T T T"
Ho 0.000 0.000 3.694
Pd 1.789 1.789 2.149
Sm 0.000 0.000 0.302
```

Results
* energy of formation from the pure elements: -0.5259 eV/atom
* size of the total moment: 0.0 μB/f.u.
* V: 79 Å³/f.u.
* E above lowest polymorph: 0.19 eV/f.u.

***

- Among the records above, which one has the lowest V?
  BaAgMo